[1]
A PBEsol-optimized structure of CrCd2Br, computed with SCAN.

Results
- Energy: -24.61 eV/atom
- Symmetry: P2/m
- Crystal system: monoclinic
- Spin magnetization: 4.83 μB per formula unit
- Fermi-level density of states: 0.275 states/eV per atom

Geometry as extended XYZ:
```
4
Lattice="-2.306 0.925 2.151 -3.228 -0.800 -3.104 -0.459 -5.629 1.929" Properties=species:S:1:pos:R:3 pbc="T T T"
Br -1.383 -2.352 2.040
Cd -1.380 0.028 -0.247
Cd -4.154 0.097 -0.705
Cr -1.844 -3.215 -0.587
```



[2]
A PBEsol-optimized structure of CrCd2Br, computed with SCAN.

Results
- Energy: -24.60 eV/atom
- Symmetry: I4/mmm
- Crystal system: tetragonal
- Spin magnetization: 4.75 μB per formula unit
- Fermi-level density of states: 0.339 states/eV per atom

Geometry as extended XYZ:
```
4
Lattice="3.962 0.000 0.000 0.000 3.962 0.000 -1.981 -1.981 5.608" Properties=species:S:1:pos:R:3 pbc="T T T"
Br 0.000 0.000 0.000
Cd 1.981 0.000 2.804
Cd 0.000 1.981 2.804
Cr 1.981 1.981 0.000
```



[3]
A PBEsol-optimized structure of Cs2Cd2Br, computed with SCAN.

Results
- Energy: -31.96 eV/atom
- Symmetry: I4/mmm
- Crystal system: tetragonal
- Spin magnetization: 0.00 μB per formula unit
- Fermi-level density of states: 0.332 states/eV per atom

Geometry as extended XYZ:
```
5
Lattice="-2.447 -3.233 -1.163 2.908 -2.710 1.414 -4.909 3.019 9.588" Properties=species:S:1:pos:R:3 pbc="T T T"
Cs -3.774 0.038 7.834
Cs -0.675 -2.962 2.005
Br 0.000 0.000 0.000
Cd -0.886 -1.331 5.564
Cd -3.563 -1.593 4.275
```



[4]
A PBEsol-optimized structure of CsCd2Br2, computed with SCAN.

Results
- Energy: -28.33 eV/atom
- Symmetry: I4/mmm
- Crystal system: tetragonal
- Spin magnetization: 0.00 μB per formula unit
- Fermi-level density of states: 0.256 states/eV per atom

Geometry as extended XYZ:
```
5
Lattice="-4.105 -2.536 2.986 5.022 -3.801 -1.715 3.722 -1.176 4.118" Properties=species:S:1:pos:R:3 pbc="T T T"
Cs 0.000 0.000 0.000
Br 2.225 -4.684 4.471
Br 2.416 -2.828 0.918
Cd 0.109 -3.069 2.935
Cd 4.531 -4.444 2.454
```



[5]
A PBEsol-optimized structure of Cs3CdBr5, computed with SCAN.

Results
- Energy: -28.48 eV/atom
- Symmetry: I4/mcm
- Crystal system: tetragonal
- Spin magnetization: 0.11 μB per formula unit
- Fermi-level density of states: 0.000 states/eV per atom

Geometry as extended XYZ:
```
18
Lattice="-0.578 2.247 -9.165 7.776 -6.138 2.881 -0.673 -9.168 -2.206" Properties=species:S:1:pos:R:3 pbc="T T T"
Cs -0.531 -5.661 -2.872
Cs -0.720 -1.260 -8.498
Cs -0.947 -6.269 -7.871
Cs -0.304 -0.653 -3.500
Cs 3.287 -3.676 -5.984
Cs 3.239 -9.383 -2.505
Cd 3.576 -4.799 -1.402
Cd 2.950 -8.260 -7.087
Br 1.866 -0.065 -6.503
Br 1.576 -7.114 -5.226
Br 2.024 -2.965 -2.348
Br 1.417 -4.214 -9.381
Br 4.660 -12.994 -1.986
Br 4.950 -5.945 -3.263
Br 4.502 -10.094 -6.141
Br 5.109 -8.845 0.892
Br 0.000 0.000 0.000
Br -0.625 -3.461 -5.685
```



[6]
A PBEsol-optimized structure of Cs2CdCuBr, computed with SCAN.

Results
- Energy: -28.31 eV/atom
- Symmetry: P4/mmm
- Crystal system: tetragonal
- Spin magnetization: 0.00 μB per formula unit
- Fermi-level density of states: 0.709 states/eV per atom

Geometry as extended XYZ:
```
5
Lattice="-2.633 -3.436 2.214 0.916 -4.144 -5.343 5.663 -2.476 2.891" Properties=species:S:1:pos:R:3 pbc="T T T"
Cs 2.832 -1.238 1.446
Cs 0.458 -2.072 -2.672
Cu -1.316 -1.718 1.107
Br 0.000 0.000 0.000
Cd 1.973 -5.028 -0.119
```



[7]
A PBEsol-optimized structure of Cs2CdRhBr, computed with SCAN.

Results
- Energy: -31.94 eV/atom
- Symmetry: P4/mmm
- Crystal system: tetragonal
- Spin magnetization: 0.37 μB per formula unit
- Fermi-level density of states: 0.439 states/eV per atom

Geometry as extended XYZ:
```
5
Lattice="4.636 0.000 0.000 0.000 6.707 0.000 0.000 0.000 6.707" Properties=species:S:1:pos:R:3 pbc="T T T"
Cs 0.000 0.000 3.353
Cs 0.000 3.353 0.000
Rh 2.318 0.000 0.000
Br 0.000 0.000 0.000
Cd 2.318 3.353 3.353
```



[8]
A PBEsol-optimized structure of Cd2CuBr, computed with SCAN.

Results
- Energy: -23.77 eV/atom
- Symmetry: Immm
- Crystal system: orthorhombic
- Spin magnetization: 0.00 μB per formula unit
- Fermi-level density of states: 0.195 states/eV per atom

Geometry as extended XYZ:
```
4
Lattice="3.333 0.000 0.000 1.667 5.324 0.065 1.667 2.047 4.915" Properties=species:S:1:pos:R:3 pbc="T T T"
Br 1.667 3.685 2.490
Cd 3.333 5.696 3.849
Cd 3.333 1.674 1.131
Cu 1.667 0.000 0.000
```



[9]
A PBEsol-optimized structure of Cd2CuBr, computed with SCAN.

Results
- Energy: -23.65 eV/atom
- Symmetry: Pmmm
- Crystal system: orthorhombic
- Spin magnetization: 0.00 μB per formula unit
- Fermi-level density of states: 0.260 states/eV per atom

Geometry as extended XYZ:
```
4
Lattice="-1.469 1.666 -2.447 1.878 -2.697 -2.964 -4.588 -3.559 0.331" Properties=species:S:1:pos:R:3 pbc="T T T"
Br -1.355 -3.128 -1.316
Cd 0.000 0.000 0.000
Cd 0.204 -0.515 -2.706
Cu -3.029 -0.946 -1.058
```



[10]
A PBEsol-optimized structure of CdCuBr, computed with SCAN.

Results
- Energy: -21.44 eV/atom
- Symmetry: F-43m
- Crystal system: cubic
- Spin magnetization: 0.00 μB per formula unit
- Fermi-level density of states: 0.110 states/eV per atom

Geometry as extended XYZ:
```
3
Lattice="-2.840 1.075 3.365 0.378 -2.048 4.025 1.513 2.318 3.589" Properties=species:S:1:pos:R:3 pbc="T T T"
Br 0.000 0.000 0.000
Cd -0.475 0.672 5.489
Cu -0.237 0.336 2.745
```



[11]
A PBEsol-optimized structure of Cd2CuBr, computed with SCAN.

Results
- Energy: -23.63 eV/atom
- Symmetry: P4/mmm
- Crystal system: tetragonal
- Spin magnetization: 0.00 μB per formula unit
- Fermi-level density of states: 0.485 states/eV per atom

Geometry as extended XYZ:
```
4
Lattice="-0.092 4.371 -2.708 1.191 -2.617 -4.265 -3.005 -0.422 -0.580" Properties=species:S:1:pos:R:3 pbc="T T T"
Br -1.503 -0.211 -0.290
Cd 0.595 -1.308 -2.132
Cd -0.046 2.186 -1.354
Cu -0.953 0.666 -3.776
```



[12]
A PBEsol-optimized structure of Cd2CuBr, computed with SCAN.

Results
- Energy: -23.44 eV/atom
- Symmetry: F-43m
- Crystal system: cubic
- Spin magnetization: 0.00 μB per formula unit
- Fermi-level density of states: 0.376 states/eV per atom

Geometry as extended XYZ:
```
4
Lattice="-2.890 -1.587 3.684 1.840 -0.447 4.567 -1.418 3.131 3.554" Properties=species:S:1:pos:R:3 pbc="T T T"
Br -1.234 0.549 5.903
Cd 0.000 0.000 0.000
Cd -1.851 0.823 8.854
Cu -0.617 0.274 2.951
```



What is the formula in the seventh record?
Cs2CdRhBr